Record 1
{
  "formula": "TeAuIN2",
  "functional": "PBE-GGA",
  "state": "relaxed",
  "raw_formation_energy_ev_per_fu": 8.4,
  "volume_a3_per_atom": 29.0,
  "polymorph_energy_ev_per_atom": 0.352,
  "rho_g_cm3": 5.49,
  "magmom_total_mub_per_cell": 3.66,
  "cell": [[-0.867, 0.122, -4.106], [3.346, -2.412, -0.779], [-4.667, -6.727, 0.785]],
  "species": ["I", "Te", "Au", "N", "N"],
  "fractional_positions": [[0.000, 0.000, 0.500], [0.500, 0.500, 0.500], [0.000, 0.000, 0.000], [0.000, 0.500, 0.000], [0.500, 0.000, 0.000]]
}

---

Record 2
{
  "formula": "TeAuIN2",
  "functional": "PBE-GGA",
  "state": "relaxed",
  "raw_formation_energy_ev_per_fu": 8.5,
  "volume_a3_per_atom": 22.1,
  "polymorph_energy_ev_per_atom": 0.356,
  "rho_g_cm3": 7.19,
  "magmom_total_mub_per_cell": 0.00,
  "cell": [[3.982, 0.000, 0.000], [0.000, 3.982, 0.000], [0.000, 0.000, 6.984]],
  "species": ["I", "Te", "Au", "N", "N"],
  "fractional_positions": [[0.000, 0.000, 0.000], [0.000, 0.000, 0.500], [0.500, 0.500, 0.500], [0.000, 0.500, 0.000], [0.500, 0.000, 0.000]]
}

---

Record 3
{
  "formula": "TiAuI2N",
  "functional": "PBE-GGA",
  "state": "relaxed",
  "raw_formation_energy_ev_per_fu": 5.3,
  "volume_a3_per_atom": 27.2,
  "polymorph_energy_ev_per_atom": 0.972,
  "rho_g_cm3": 6.26,
  "magmom_total_mub_per_cell": 0.72,
  "cell": [[5.997, 0.000, 0.000], [0.000, 5.997, 0.000], [0.000, 0.000, 3.778]],
  "species": ["I", "I", "N", "Au", "Ti"],
  "fractional_positions": [[0.000, 0.500, 0.000], [0.500, 0.000, 0.000], [0.000, 0.000, 0.500], [0.000, 0.000, 0.000], [0.500, 0.500, 0.500]]
}

---

Record 4
{
  "formula": "TiAuIN2",
  "functional": "PBE-GGA",
  "state": "relaxed",
  "raw_formation_energy_ev_per_fu": 2.3,
  "volume_a3_per_atom": 19.5,
  "polymorph_energy_ev_per_atom": 0.000,
  "rho_g_cm3": 6.82,
  "magmom_total_mub_per_cell": 0.00,
  "cell": [[-0.113, -3.801, 0.990], [3.780, -0.375, -1.006], [1.712, 1.482, 5.883]],
  "species": ["I", "N", "N", "Au", "Ti"],
  "fractional_positions": [[0.000, 0.000, 0.500], [0.000, 0.500, 0.000], [0.500, 0.000, 0.000], [0.500, 0.500, 0.500], [0.000, 0.000, 0.000]]
}

---

Please write out number 2 again, unchanged.
{
  "formula": "TeAuIN2",
  "functional": "PBE-GGA",
  "state": "relaxed",
  "raw_formation_energy_ev_per_fu": 8.5,
  "volume_a3_per_atom": 22.1,
  "polymorph_energy_ev_per_atom": 0.356,
  "rho_g_cm3": 7.19,
  "magmom_total_mub_per_cell": 0.00,
  "cell": [[3.982, 0.000, 0.000], [0.000, 3.982, 0.000], [0.000, 0.000, 6.984]],
  "species": ["I", "Te", "Au", "N", "N"],
  "fractional_positions": [[0.000, 0.000, 0.000], [0.000, 0.000, 0.500], [0.500, 0.500, 0.500], [0.000, 0.500, 0.000], [0.500, 0.000, 0.000]]
}